1.
# BaLaTl2Se | Alexandria | PBE | optimized geometry
# Size of the total moment = 0.00 Bohr magnetons per cell
# Raw formation energy = 0.216 eV per atom
# E = -2.797 eV per atom
data_BaLaTl2Se
_chemical_formula_sum 'Ba1 La1 Tl2 Se1'
_cell_length_a 5.975
_cell_length_b 5.975
_cell_length_c 5.765
_cell_angle_alpha 90.00
_cell_angle_beta 90.00
_cell_angle_gamma 90.00
_space_group_name_H-M_alt 'P 4/m m m'
_space_group_IT_number 123
_space_group_name_Hall '-P 4 2'
loop_
_atom_site_label
_atom_site_fract_x
_atom_site_fract_y
_atom_site_fract_z
Ba1 0.000 0.000 0.000
La1 0.500 0.500 0.500
Tl1 0.000 0.500 0.000
Se1 0.000 0.000 0.500



2.
# Tl3Cd2SnSe6 | Alexandria | PBE | optimized geometry
# Size of the total moment = 0.00 Bohr magnetons per cell
# Raw formation energy = -0.416 eV per atom
# E = -3.236 eV per atom
data_Tl3Cd2SnSe6
_chemical_formula_sum 'Tl6 Cd4 Sn2 Se12'
_cell_length_a 7.173
_cell_length_b 12.452
_cell_length_c 7.647
_cell_angle_alpha 90.00
_cell_angle_beta 108.43
_cell_angle_gamma 90.00
_space_group_name_H-M_alt 'C 1 2/m 1'
_space_group_IT_number 12
loop_
_space_group_symop_operation_xyz
'x,y,z'
'-x,-y,-z'
'-x,y,-z'
'x,-y,z'
'x+1/2,y+1/2,z'
'-x+1/2,-y+1/2,-z'
'-x+1/2,y+1/2,-z'
'x+1/2,-y+1/2,z'
loop_
_atom_site_label
_atom_site_fract_x
_atom_site_fract_y
_atom_site_fract_z
Tl1 0.000 0.000 0.000
Tl2 0.000 0.331 0.000
Cd1 0.000 0.166 0.500
Sn1 0.000 0.500 0.500
Se1 0.233 0.339 0.708
Se2 0.249 0.000 0.715



3.
# AgAsSe2 | Alexandria | PBE | optimized geometry
# Size of the total moment = 0.00 Bohr magnetons per cell
# Raw formation energy = 0.429 eV per atom
# E = -3.189 eV per atom
data_AgAsSe2
_chemical_formula_sum 'Ag1 As1 Se2'
_cell_length_a 3.225
_cell_length_b 4.742
_cell_length_c 5.231
_cell_angle_alpha 90.00
_cell_angle_beta 90.00
_cell_angle_gamma 90.00
_space_group_name_H-M_alt 'P m m m'
_space_group_IT_number 47
loop_
_space_group_symop_operation_xyz
'x,y,z'
'-x,-y,-z'
'-x,-y,z'
'x,y,-z'
'x,-y,-z'
'-x,y,z'
'-x,y,-z'
'x,-y,z'
loop_
_atom_site_label
_atom_site_fract_x
_atom_site_fract_y
_atom_site_fract_z
Ag1 0.000 0.000 0.000
As1 0.500 0.500 0.000
Se1 0.000 0.500 0.500
Se2 0.500 0.000 0.500



4.
# Pd2ICl3 | Alexandria | PBE | optimized geometry
# Size of the total moment = 7.75 Bohr magnetons per cell
# Raw formation energy = -0.238 eV per atom
# E = -3.150 eV per atom
data_Pd2ICl3
_chemical_formula_sum 'Pd4 I2 Cl6'
_cell_length_a 7.6261
_cell_length_b 7.6261
_cell_length_c 6.5922
_cell_angle_alpha 90.00
_cell_angle_beta 90.00
_cell_angle_gamma 120.00
_space_group_name_H-M_alt 'P -3 m 1'
_space_group_IT_number 164
_space_group_name_Hall '-P 3 2"'
loop_
_atom_site_label
_atom_site_fract_x
_atom_site_fract_y
_atom_site_fract_z
Pd1 0.0000 0.0000 0.0000
Pd2 0.0000 0.5000 0.0000
I1 0.3333 0.6667 0.7342
Cl1 0.1680 0.3361 0.1981